Compound: Mn6P7O24
Source: the Alexandria database
Functional: SCAN
Structure: single point on PBEsol structure

a = 5.3365 Å, b = 26.8544 Å, c = 6.4255 Å
α = 90.00°, β = 107.56°, γ = 90.00°
Atoms (fractional coordinates):
Mn (0.1496, 0.1860, 0.2851)
Mn (0.1496, 0.3140, 0.2851)
Mn (0.1860, 0.6005, 0.0833)
Mn (0.1860, 0.8995, 0.0833)
Mn (0.2163, 0.0515, 0.6867)
Mn (0.2163, 0.4485, 0.6867)
Mn (0.7837, 0.5515, 0.3133)
Mn (0.7837, 0.9485, 0.3133)
Mn (0.8140, 0.1005, 0.9167)
Mn (0.8140, 0.3995, 0.9167)
Mn (0.8504, 0.6860, 0.7149)
Mn (0.8504, 0.8140, 0.7149)
P (0.2733, 0.1691, 0.8122)
P (0.2733, 0.3309, 0.8122)
P (0.3050, 0.6082, 0.6228)
P (0.3050, 0.8918, 0.6228)
P (0.3063, 0.0250, 0.2041)
P (0.3063, 0.4750, 0.2041)
P (0.4223, 0.7500, 0.9018)
P (0.5777, 0.2500, 0.0982)
P (0.6937, 0.5250, 0.7959)
P (0.6937, 0.9750, 0.7959)
P (0.6950, 0.1082, 0.3772)
P (0.6950, 0.3918, 0.3772)
P (0.7267, 0.6691, 0.1878)
P (0.7267, 0.8309, 0.1878)
O (0.0912, 0.1654, 0.9574)
O (0.0912, 0.3346, 0.9574)
O (0.1259, 0.5941, 0.3924)
O (0.1259, 0.9059, 0.3924)
O (0.1286, 0.7500, 0.7904)
O (0.1353, 0.0476, 0.9878)
O (0.1353, 0.4524, 0.9878)
O (0.1383, 0.6249, 0.7680)
O (0.1383, 0.8751, 0.7680)
O (0.1443, 0.1925, 0.5934)
O (0.1443, 0.3075, 0.5934)
O (0.1720, 0.0278, 0.3814)
O (0.1720, 0.4722, 0.3814)
O (0.3901, 0.2500, 0.2345)
O (0.4044, 0.5275, 0.1742)
O (0.4044, 0.9725, 0.1742)
O (0.4151, 0.1193, 0.8040)
O (0.4151, 0.3807, 0.8040)
O (0.4217, 0.5553, 0.7266)
O (0.4217, 0.9447, 0.7266)
O (0.4762, 0.1427, 0.3813)
O (0.4762, 0.3573, 0.3813)
O (0.4776, 0.7033, 0.0592)
O (0.4776, 0.7967, 0.0592)
O (0.5224, 0.2033, 0.9408)
O (0.5224, 0.2967, 0.9408)
O (0.5238, 0.6427, 0.6187)
O (0.5238, 0.8573, 0.6187)
O (0.5783, 0.0553, 0.2734)
O (0.5783, 0.4447, 0.2734)
O (0.5849, 0.6193, 0.1960)
O (0.5849, 0.8807, 0.1960)
O (0.5956, 0.0275, 0.8258)
O (0.5956, 0.4725, 0.8258)
O (0.6099, 0.7500, 0.7655)
O (0.8280, 0.5278, 0.6186)
O (0.8280, 0.9722, 0.6186)
O (0.8557, 0.6925, 0.4066)
O (0.8557, 0.8075, 0.4066)
O (0.8617, 0.1249, 0.2320)
O (0.8617, 0.3751, 0.2320)
O (0.8647, 0.5476, 0.0122)
O (0.8647, 0.9524, 0.0122)
O (0.8714, 0.2500, 0.2096)
O (0.8741, 0.0941, 0.6076)
O (0.8741, 0.4059, 0.6076)
O (0.9088, 0.6654, 0.0426)
O (0.9088, 0.8346, 0.0426)

Summary:
**Density of states at the Fermi level**: 0.2254 states/eV/atom
**Calculated total energy**: -421.2 eV per formula unit
**Magnetic moment**: 29.00 μB per formula unit
**Space group**: P2_1/m